# PBE InAg3, optimized geometry
data_InAg3
_chemical_formula_sum 'In1 Ag3'
_space_group_name_H-M_alt 'P 1'
_space_group_IT_number 1
_cell_length_a 2.9838
_cell_length_b 4.7542
_cell_length_c 5.4905
_cell_angle_alpha 90.00
_cell_angle_beta 99.16
_cell_angle_gamma 90.00
loop_
_space_group_symop_operation_xyz
'x,y,z'
loop_
_atom_site_label
_atom_site_fract_x
_atom_site_fract_y
_atom_site_fract_z
In1 0.0000 0.0000 0.0000
Ag1 0.2398 0.5000 0.7456
Ag2 0.5000 0.0000 0.5000
Ag3 0.7602 0.5000 0.2544
# formation energy from the elements = 0.26 kcal/mol of atoms
# theoretical density = 9.47 g/cm3
# volume = 19.2 Å³/atom
# density of states at the Fermi level = 0.128 states/eV per atom

***

# PBE CeEr8In2, optimized geometry
data_CeEr8In2
_chemical_formula_sum 'Ce1 Er8 In2'
_space_group_name_H-M_alt 'P 1'
_space_group_IT_number 1
_cell_length_a 9.9340
_cell_length_b 9.9340
_cell_length_c 5.2944
_cell_angle_alpha 92.66
_cell_angle_beta 92.66
_cell_angle_gamma 39.70
loop_
_space_group_symop_operation_xyz
'x,y,z'
loop_
_atom_site_label
_atom_site_fract_x
_atom_site_fract_y
_atom_site_fract_z
Ce1 0.0000 0.0000 0.0000
Er1 0.1263 0.6064 0.2677
Er2 0.1977 0.1977 0.2359
Er3 0.3936 0.8737 0.7323
Er4 0.4536 0.4536 0.7598
Er5 0.5464 0.5464 0.2402
Er6 0.6064 0.1263 0.2677
Er7 0.8023 0.8023 0.7641
Er8 0.8737 0.3936 0.7323
In1 0.2873 0.2873 0.7534
In2 0.7127 0.7127 0.2466
# formation energy from the elements = -0.54 kcal/mol of atoms
# theoretical density = 8.51 g/cm3
# volume = 30.3 Å³/atom
# density of states at the Fermi level = 1.709 states/eV per atom

***

# PBE CuRu2Br, optimized geometry
data_CuRu2Br
_chemical_formula_sum 'Cu1 Ru2 Br1'
_space_group_name_H-M_alt 'P 1'
_space_group_IT_number 1
_cell_length_a 5.4751
_cell_length_b 5.4751
_cell_length_c 5.4751
_cell_angle_alpha 149.51
_cell_angle_beta 131.82
_cell_angle_gamma 58.10
loop_
_space_group_symop_operation_xyz
'x,y,z'
loop_
_atom_site_label
_atom_site_fract_x
_atom_site_fract_y
_atom_site_fract_z
Cu1 0.0000 0.0000 0.0000
Ru1 0.5091 0.5091 0.0000
Ru2 0.7350 0.2350 0.5000
Br1 0.2783 0.7783 0.5000
# polymorph energy (0 for the lowest one) = 1.39 eV per formula unit
# raw formation energy = 0.7944 eV/atom
# theoretical density = 9.32 g/cm3
# volume = 15.4 Å³/atom
# density of states at the Fermi level = 1.154 states/eV per atom

***

# PBE HfTcS2Cl, optimized geometry
data_HfTcS2Cl
_chemical_formula_sum 'Hf1 Tc1 S2 Cl1'
_space_group_name_H-M_alt 'P 1'
_space_group_IT_number 1
_cell_length_a 4.9442
_cell_length_b 4.9442
_cell_length_c 4.8788
_cell_angle_alpha 90.00
_cell_angle_beta 90.00
_cell_angle_gamma 90.00
loop_
_space_group_symop_operation_xyz
'x,y,z'
loop_
_atom_site_label
_atom_site_fract_x
_atom_site_fract_y
_atom_site_fract_z
Hf1 0.0000 0.0000 0.0000
Tc1 0.5000 0.5000 0.5000
S1 0.0000 0.5000 0.0000
S2 0.5000 0.0000 0.0000
Cl1 0.0000 0.0000 0.5000
# polymorph energy (0 for the lowest one) = 0.00 eV per formula unit
# raw formation energy = -0.0476 eV/atom
# theoretical density = 5.24 g/cm3
# volume = 23.9 Å³/atom
# density of states at the Fermi level = 0.744 states/eV per atom